This record from the Alexandria database describes crystalline LaTb2Nd4 at its relaxed geometry. The functional is GGA-PBE.

Computed properties:
E above lowest polymorph = 0.000 eV per atom
energy of formation = 69 meV/atom
total magnetization = 0.00 μB/atom

a = 6.7573 Å, b = 8.6773 Å, c = 8.8167 Å
α = 91.22°, β = 99.73°, γ = 106.15°
Closest atoms and distances in Å follow each position.
Positions (direct):
La: 0.0000 0.0000 0.0000  6 Nd 3.46-3.87, 2 La 3.63-3.80, 1 Tb 3.71
La: 0.4949 0.9269 0.1575  6 Nd 3.46-3.87, 3 Tb 3.46-3.67, 2 La 3.63-3.80
Tb: 0.2168 0.0390 0.4410  2 Tb 3.49-3.80, 7 Nd 3.49-3.73, 2 La 3.64-3.89
Tb: 0.3074 0.6268 0.4274  8 Nd 3.43-3.76, 2 Tb 3.46-3.80, 1 La 3.67
Tb: 0.5746 0.1859 0.8662  1 Tb 3.32, 2 La 3.46-3.71, 3 Nd 3.48-3.69
Tb: 0.6278 0.3886 0.5532  3 Tb 3.32-3.49, 5 Nd 3.47-3.58
Nd: 0.0454 0.5681 0.0297  6 Nd 3.30-3.63, 1 Tb 3.61, 1 La 3.69
Nd: 0.0804 0.7537 0.7076  3 Nd 3.30-3.62, 2 Tb 3.43-3.49, 1 La 3.52
Nd: 0.1199 0.3293 0.7124  5 Nd 3.47-3.80, 5 Tb 3.56-3.83, 1 La 3.87
Nd: 0.3879 0.3423 0.1616  2 La 3.46-3.87, 4 Tb 3.48-3.73, 4 Nd 3.50-3.62
Nd: 0.5641 0.6419 0.8560  5 Nd 3.47-3.88, 2 Tb 3.58-3.87, 2 La 3.66-3.77
Nd: 0.7177 0.9758 0.5759  5 Nd 3.51-3.88, 5 Tb 3.53-3.80, 2 La 3.71-3.87
Nd: 0.8041 0.6864 0.3115  4 Tb 3.47-3.58, 5 Nd 3.48-3.79, 1 La 3.49
Nd: 0.8942 0.2754 0.2834  2 La 3.46-3.71, 6 Nd 3.47-3.80, 3 Tb 3.49-3.55